(1)
Density functional theory data (PBE) for RbTbCdCl6 after structural relaxation.

## Properties
**M_tot**: 0.0000 μB per atom
**Symmetry**: No. 163
**ΔE_f (raw)**: -42.63 kcal/mol of atoms

abc: 6.9857 6.9857 14.5158
angles: 90.00 90.00 120.00
Positions (direct):
Rb: 0.0000 0.0000 0.0000
Rb: 0.0000 0.0000 0.5000
Tb: 0.6667 0.3333 0.2500
Tb: 0.3333 0.6667 0.7500
Cd: 0.3333 0.6667 0.2500
Cd: 0.6667 0.3333 0.7500
Cl: 0.6226 0.6225 0.1444
Cl: 0.9998 0.3774 0.1444
Cl: 0.3774 0.9998 0.6444
Cl: 0.0002 0.6226 0.8556
Cl: 0.3775 0.3774 0.3556
Cl: 0.9998 0.6225 0.3556
Cl: 0.6225 0.9998 0.8556
Cl: 0.6226 0.0002 0.3556
Cl: 0.0002 0.3775 0.6444
Cl: 0.3775 0.0002 0.1444
Cl: 0.6225 0.6226 0.6444
Cl: 0.3774 0.3775 0.8556

---

(2)
Density functional theory data (PBE) for Rb2TbCdCl6 after structural relaxation.

## Properties
**M_tot**: 0.0846 μB per atom
**Symmetry**: No. 59
**ΔE_f (raw)**: -40.81 kcal/mol of atoms

abc: 7.6840 8.1728 11.1175
angles: 90.00 90.00 90.00
Site moments in Bohr magnetons follow the coordinates.
Positions (direct):
Rb: 0.5000 0.7968 0.2209  0.00
Rb: 0.0000 0.2032 0.7209  0.00
Rb: 0.5000 0.7968 0.7791  0.00
Rb: 0.0000 0.2032 0.2791  0.00
Tb: 0.5000 0.2257 0.5000  0.08
Tb: 0.0000 0.7743 0.0000  0.08
Cd: 0.0000 0.7197 0.5000  0.30
Cd: 0.5000 0.2803 0.0000  0.30
Cl: 0.5000 0.2142 0.2613  0.03
Cl: 0.5000 0.2142 0.7387  0.03
Cl: 0.0000 0.7858 0.2387  0.03
Cl: 0.0000 0.7858 0.7613  0.03
Cl: 0.2595 0.9893 0.5000  0.03
Cl: 0.7405 0.9893 0.5000  0.03
Cl: 0.2444 0.4414 0.5000  0.03
Cl: 0.7556 0.4414 0.5000  0.03
Cl: 0.7444 0.5586 0.0000  0.03
Cl: 0.2556 0.5586 0.0000  0.03
Cl: 0.2405 0.0107 0.0000  0.03
Cl: 0.7595 0.0107 0.0000  0.03

---

(3)
Density functional theory data (PBE) for Rb2CdTeCl6 after structural relaxation.

## Properties
**M_tot**: 0.0000 μB per atom
**Symmetry**: No. 139
**ΔE_f (raw)**: -25.96 kcal/mol of atoms

abc: 7.8228 7.8228 7.7304
angles: 59.60 59.60 90.00
Positions (direct):
Cl: 0.2382 0.2382 0.5236
Cl: 0.7618 0.7618 0.4764
Cl: 0.2642 0.2642 0.0000
Cl: 0.7358 0.7358 0.0000
Cl: 0.7358 0.2642 0.0000
Cl: 0.2642 0.7358 0.0000
Te: 0.0000 0.0000 0.0000
Rb: 0.7500 0.2500 0.5000
Rb: 0.2500 0.7500 0.5000
Cd: 0.5000 0.5000 0.0000

---

(4)
Density functional theory data (PBE) for RbTiCdCl6 after structural relaxation.

## Properties
**M_tot**: 0.1111 μB per atom
**Symmetry**: No. 163
**ΔE_f (raw)**: -35.00 kcal/mol of atoms

abc: 6.7566 6.7566 14.3387
angles: 90.00 90.00 120.00
Site moments in Bohr magnetons follow the coordinates.
Positions (direct):
Rb: 0.0000 0.0000 0.0000  0.00
Rb: 0.0000 0.0000 0.5000  0.00
Ti: 0.6667 0.3333 0.2500  0.88
Ti: 0.3333 0.6667 0.7500  0.88
Cd: 0.3333 0.6667 0.2500  0.02
Cd: 0.6667 0.3333 0.7500  0.02
Cl: 0.6348 0.6091 0.1504  -0.01
Cl: 0.9743 0.3652 0.1504  -0.01
Cl: 0.3652 0.9743 0.6504  -0.01
Cl: 0.0257 0.6348 0.8496  -0.01
Cl: 0.3909 0.3652 0.3496  -0.01
Cl: 0.9743 0.6091 0.3496  -0.01
Cl: 0.6091 0.9743 0.8496  -0.01
Cl: 0.6348 0.0257 0.3496  -0.01
Cl: 0.0257 0.3909 0.6504  -0.01
Cl: 0.3909 0.0257 0.1504  -0.01
Cl: 0.6091 0.6348 0.6504  -0.01
Cl: 0.3652 0.3909 0.8496  -0.01

---

no.,volume (Å³/cell)
1,613
2,698
3,330
4,567